First-principles (GGA-PBE) data for BaNaMgAu2 after structural relaxation, as listed in OQMD.

a = 7.221 Å, b = 7.221 Å, c = 7.221 Å
α = 143.15°, β = 143.15°, γ = 53.10°
Sites, in units of the cell vectors:
Ba 0.000 0.000 0.000
Na 0.750 0.250 0.500
Mg 0.250 0.750 0.500
Au 0.388 0.388 0.000
Au 0.612 0.612 0.000

Computed properties:
Symmetry: No. 119
Final energy (eV per formula unit): -13.9
Volume (Å³/cell): 135